{"formula": "BeVTc", "functional": "GGA-PBE", "state": "relaxed", "lattice": [[-2.6846, -4.7415, -0.7982], [-0.5826, -0.6812, 4.5651], [-4.0703, 4.2253, -1.4574]], "species": ["Tc", "Tc", "Be", "Be", "V", "V", "Tc", "V", "Be", "V", "Tc", "Be"], "frac_coords": [[0.2449, 0.3541, 0.8807], [0.7551, 0.6459, 0.1193], [0.1619, 0.4102, 0.2414], [0.4664, 0.8239, 0.8290], [0.8238, 0.1227, 0.8826], [0.4406, 0.2665, 0.5682], [0.0918, 0.7774, 0.5636], [0.1762, 0.8773, 0.1174], [0.8381, 0.5898, 0.7586], [0.5594, 0.7335, 0.4318], [0.9082, 0.2226, 0.4364], [0.5336, 0.1761, 0.1710]], "density_g_cm3": 7.21, "formation_energy_ev_per_atom": -0.1213, "space_group": "No. 2", "polymorph_energy_mev_per_atom": 15.0}